A relaxed structure of ZrNbB2Rh. Source: Alexandria, functional PBE.

Lattice parameters (Å, degrees): 4.080 4.080 4.923 90.00 90.00 90.00
Element x y z (fractional)
1 Zr 0.000 0.000 0.000
2 Nb 0.500 0.500 0.000
3 B 0.000 0.500 0.500
4 B 0.500 0.000 0.500
5 Rh 0.500 0.500 0.500

- Energy relative to the elements: 0.78 eV per atom
- SG: P4/mmm
- Electronic total energy: -7.09 eV/atom